Record 1
The following is a DFT calculation (meta-GGA SCAN) of a crystal of SrAsW2 relaxed with PBEsol.

Calculated values
**Theoretical density**: 11.5 g/cm3
**Crystal system**: monoclinic
**Formation enthalpy at 0 K**: 0.87 eV/atom
**Total energy**: -44.587 eV per atom

Cell: 2.7937 5.1457 5.3297 Å, 90.00 90.00 91.21°
Fractional positions:
1 W 0.8960 0.7434 0.0000
2 As 0.0000 0.5000 0.5000
3 W 0.1040 0.2566 0.0000
4 Sr 0.5000 0.0000 0.5000



Record 2
The following is a DFT calculation (meta-GGA SCAN) of a crystal of AgPb2Cl relaxed with PBEsol.

Calculated values
**Theoretical density**: 9.7 g/cm3
**Crystal system**: orthorhombic
**Formation energy without anion corrections**: -0.1869 eV per atom
**Total energy**: -47.914 eV per atom

Cell: 3.2199 5.4481 5.4481 Å, 90.11 90.00 90.00°
Fractional positions:
1 Pb 0.0000 0.0000 0.5000
2 Ag 0.5000 0.0000 0.0000
3 Cl 0.5000 0.5000 0.5000
4 Pb 0.0000 0.5000 0.0000



Record 3
The following is a DFT calculation (meta-GGA SCAN) of a crystal of TiGeRh relaxed with PBEsol.

Calculated values
**Theoretical density**: 8.5 g/cm3
**Crystal system**: orthorhombic
**Formation enthalpy at 0 K**: -0.93 eV/atom
**Total energy**: -23.897 eV per atom

Cell: 6.5711 7.4301 7.1005 Å, 61.46 90.00 116.24°
Fractional positions:
1 Ge 0.5791 0.6646 0.6742
2 Ti 0.6666 0.0045 0.7478
3 Ti 0.2429 0.4545 0.5227
4 Rh 0.2518 0.7487 0.6709
5 Ge 0.2901 0.0772 0.7114
6 Rh 0.5032 0.2513 0.3291
7 Ge 0.5791 0.6646 0.1612
8 Ge 0.9145 0.3354 0.8388
9 Rh 0.9912 0.0000 0.0000
10 Rh 0.2518 0.7487 0.0804
11 Ge 0.9145 0.3354 0.3258
12 Ti 0.6621 0.9955 0.2522
13 Ti 0.7884 0.5455 0.4773
14 Rh 0.9912 0.0000 0.5000
15 Ti 0.2419 0.3861 0.0569
16 Ti 0.8558 0.6139 0.9431
17 Rh 0.5032 0.2513 0.9196
18 Ge 0.2129 0.9228 0.2886



Record 4
The following is a DFT calculation (meta-GGA SCAN) of a crystal of SrNiSN2 relaxed with PBEsol.

Calculated values
**Theoretical density**: 4.8 g/cm3
**Crystal system**: tetragonal
**Formation energy without anion corrections**: 0.1272 eV per atom
**Total energy**: -13.205 eV per atom

Cell: 3.8995 3.8995 4.6662 Å, 90.00 90.00 90.00°
Fractional positions:
1 Sr 0.5000 0.5000 0.5000
2 S 0.0000 0.0000 0.5000
3 N 0.0000 0.5000 0.0000
4 N 0.5000 0.0000 0.0000
5 Ni 0.0000 0.0000 0.0000



Record 5
The following is a DFT calculation (meta-GGA SCAN) of a crystal of BeInRe relaxed with PBEsol.

Calculated values
**Theoretical density**: 9.4 g/cm3
**Crystal system**: cubic
**Formation enthalpy at 0 K**: 1.10 eV/atom
**Total energy**: -35.178 eV per atom

Cell: 4.2633 4.2633 4.2633 Å, 60.00 60.00 60.00°
Fractional positions:
1 Re 0.2500 0.2500 0.2500
2 Be 0.0000 0.0000 0.0000
3 In 0.5000 0.5000 0.5000



Record 6
The following is a DFT calculation (meta-GGA SCAN) of a crystal of Tl2HgCl relaxed with PBEsol.

Calculated values
**Theoretical density**: 9.8 g/cm3
**Crystal system**: trigonal
**Formation energy without anion corrections**: -0.4605 eV per atom
**Energy above the most stable polymorph in this dataset**: 21.5 meV per atom
**Total energy**: -55.676 eV per atom

Cell: 3.7225 3.7225 9.3838 Å, 78.56 78.56 60.00°
Fractional positions:
1 Cl 0.5000 0.5000 0.5000
2 Tl 0.7538 0.7538 0.7385
3 Hg 0.0000 0.0000 0.0000
4 Tl 0.2462 0.2462 0.2615



Record 7
The following is a DFT calculation (meta-GGA SCAN) of a crystal of Re2HgTe relaxed with PBEsol.

Calculated values
**Theoretical density**: 16.5 g/cm3
**Crystal system**: monoclinic
**Formation energy without anion corrections**: 1.0106 eV per atom
**Energy above the most stable polymorph in this dataset**: 440.5 meV per atom
**Total energy**: -60.892 eV per atom

Cell: 3.0407 4.5305 5.5344 Å, 99.84 90.00 109.61°
Fractional positions:
1 Re 0.7495 0.4991 0.7792
2 Re 0.2505 0.5009 0.2208
3 Hg 0.0000 0.0000 0.5000
4 Te 0.5000 0.0000 0.0000



Record 8
The following is a DFT calculation (meta-GGA SCAN) of a crystal of RbBaSr2 relaxed with PBEsol.

Calculated values
**Theoretical density**: 2.8 g/cm3
**Crystal system**: cubic
**Formation enthalpy at 0 K**: 0.16 eV/atom
**Total energy**: -26.048 eV per atom

Cell: 6.9728 6.9728 6.9728 Å, 60.00 60.00 60.00°
Fractional positions:
1 Sr 0.7500 0.7500 0.7500
2 Rb 0.0000 0.0000 0.0000
3 Ba 0.5000 0.5000 0.5000
4 Sr 0.2500 0.2500 0.2500



Record 9
The following is a DFT calculation (meta-GGA SCAN) of a crystal of PbWF2 relaxed with PBEsol.

Calculated values
**Theoretical density**: 12.1 g/cm3
**Crystal system**: cubic
**Formation energy without anion corrections**: 0.1977 eV per atom
**Total energy**: -37.940 eV per atom

Cell: 4.3634 4.3634 4.3634 Å, 60.00 60.00 60.00°
Fractional positions:
1 F 0.7500 0.7500 0.7500
2 Pb 0.5000 0.5000 0.5000
3 W 0.0000 0.0000 0.0000
4 F 0.2500 0.2500 0.2500



Record 10
The following is a DFT calculation (meta-GGA SCAN) of a crystal of Na2LaGaAu relaxed with PBEsol.

Calculated values
**Theoretical density**: 5.7 g/cm3
**Crystal system**: tetragonal
**Formation enthalpy at 0 K**: -0.04 eV/atom
**Total energy**: -27.451 eV per atom

Cell: 4.8299 5.2027 5.2027 Å, 90.00 90.00 90.00°
Fractional positions:
1 Na 0.0000 0.0000 0.5000
2 Na 0.0000 0.5000 0.0000
3 Ga 0.0000 0.0000 0.0000
4 La 0.5000 0.5000 0.5000
5 Au 0.5000 0.0000 0.0000



Record 11
The following is a DFT calculation (meta-GGA SCAN) of a crystal of Sr2NiAg relaxed with PBEsol.

Calculated values
**Theoretical density**: 4.8 g/cm3
**Crystal system**: tetragonal
**Formation enthalpy at 0 K**: 0.18 eV/atom
**Total energy**: -22.839 eV per atom

Cell: 4.3624 4.3624 6.1503 Å, 90.00 90.00 90.00°
Fractional positions:
1 Ag 0.0000 0.0000 0.3834
2 Sr 0.5000 0.5000 0.3692
3 Ni 0.5000 0.5000 0.8671
4 Sr 0.0000 0.0000 0.8803



Record 12
The following is a DFT calculation (meta-GGA SCAN) of a crystal of MnFe relaxed with PBEsol.

Calculated values
**Theoretical density**: 9.1 g/cm3
**Crystal system**: tetragonal
**Formation enthalpy at 0 K**: 0.22 eV/atom
**Total energy**: -17.968 eV per atom

Cell: 3.4316 3.4316 4.1909 Å, 114.17 114.17 90.00°
Fractional positions:
1 Mn 0.5000 0.5000 0.0000
2 Fe 0.2500 0.7500 0.5000
3 Mn 0.7500 0.2500 0.5000
4 Fe 0.0000 0.0000 0.0000



Record 13
The following is a DFT calculation (meta-GGA SCAN) of a crystal of BeAsIr2 relaxed with PBEsol.

Calculated values
**Theoretical density**: 15.1 g/cm3
**Crystal system**: tetragonal
**Formation enthalpy at 0 K**: -0.19 eV/atom
**Energy above the most stable polymorph in this dataset**: 0.0 meV per atom
**Total energy**: -41.872 eV per atom

Cell: 4.0017 4.2837 4.0017 Å, 62.15 90.00 117.85°
Fractional positions:
1 Be 0.0000 0.0000 0.0000
2 Ir 0.7500 0.5000 0.7500
3 Ir 0.2500 0.5000 0.2500
4 As 0.5000 0.0000 0.5000



Record 14
The following is a DFT calculation (meta-GGA SCAN) of a crystal of Pd2SeBr relaxed with PBEsol.

Calculated values
**Theoretical density**: 7.3 g/cm3
**Crystal system**: tetragonal
**Formation energy without anion corrections**: -0.0776 eV per atom
**Total energy**: -26.349 eV per atom

Cell: 6.4714 6.1188 6.4714 Å, 121.93 90.00 121.93°
Fractional positions:
1 Pd 0.4039 0.2500 0.3750
2 Pd 0.1250 0.7500 0.5961
3 Pd 0.6250 0.7500 0.1539
4 Se 0.7500 0.5000 0.2500
5 Br 0.2500 0.5000 0.7500
6 Pd 0.8461 0.2500 0.8750
7 Se 0.5000 0.0000 0.5000
8 Br 0.0000 0.0000 0.0000



Record 15
The following is a DFT calculation (meta-GGA SCAN) of a crystal of AlFePb2 relaxed with PBEsol.

Calculated values
**Theoretical density**: 9.7 g/cm3
**Crystal system**: orthorhombic
**Formation enthalpy at 0 K**: 0.48 eV/atom
**Total energy**: -43.878 eV per atom

Cell: 3.2133 3.2133 8.2601 Å, 90.00 90.00 94.03°
Fractional positions:
1 Al 0.5000 0.5000 0.5000
2 Pb 0.0000 0.0000 0.2149
3 Pb 0.0000 0.0000 0.7851
4 Fe 0.5000 0.5000 0.0000



Record 16
The following is a DFT calculation (meta-GGA SCAN) of a crystal of ReNClF5 relaxed with PBEsol.

Calculated values
**Theoretical density**: 4.1 g/cm3
**Crystal system**: monoclinic
**Formation energy without anion corrections**: -1.5534 eV per atom
**Total energy**: -14.812 eV per atom

Cell: 5.0321 6.3095 8.4880 Å, 90.00 90.00 95.17°
Fractional positions:
1 F 0.2128 0.6618 0.0938
2 Cl 0.4388 0.2347 0.2500
3 Cl 0.5612 0.7653 0.7500
4 Re 0.0279 0.7958 0.2500
5 F 0.7872 0.3382 0.5938
6 F 0.2048 0.4644 0.7500
7 F 0.2058 0.1140 0.5966
8 N 0.7592 0.9705 0.7500
9 F 0.7942 0.8860 0.4034
10 F 0.7952 0.5356 0.2500
11 F 0.7942 0.8860 0.0966
12 Re 0.9721 0.2042 0.7500
13 F 0.7872 0.3382 0.9062
14 F 0.2058 0.1140 0.9034
15 F 0.2128 0.6618 0.4062
16 N 0.2408 0.0295 0.2500



Record 17
The following is a DFT calculation (meta-GGA SCAN) of a crystal of BeRePb2 relaxed with PBEsol.

Calculated values
**Theoretical density**: 13.4 g/cm3
**Crystal system**: trigonal
**Formation enthalpy at 0 K**: 1.01 eV/atom
**Total energy**: -55.742 eV per atom

Cell: 3.3124 3.3124 8.2046 Å, 78.35 78.35 60.00°
Fractional positions:
1 Pb 0.2535 0.2535 0.2394
2 Pb 0.7465 0.7465 0.7606
3 Re 0.5000 0.5000 0.5000
4 Be 0.0000 0.0000 0.0000



Record 18
The following is a DFT calculation (meta-GGA SCAN) of a crystal of BeTe2Cl relaxed with PBEsol.

Calculated values
**Theoretical density**: 5.9 g/cm3
**Crystal system**: tetragonal
**Formation energy without anion corrections**: 0.5965 eV per atom
**Energy above the most stable polymorph in this dataset**: 943.4 meV per atom
**Total energy**: -21.112 eV per atom

Cell: 3.1996 5.1384 5.1384 Å, 90.00 90.00 90.00°
Fractional positions:
1 Te 0.0000 0.5000 0.0000
2 Be 0.5000 0.5000 0.5000
3 Cl 0.5000 0.0000 0.0000
4 Te 0.0000 0.0000 0.5000



Record 19
The following is a DFT calculation (meta-GGA SCAN) of a crystal of FeP2 relaxed with PBEsol.

Calculated values
**Theoretical density**: 5.1 g/cm3
**Crystal system**: tetragonal
**Formation enthalpy at 0 K**: 0.13 eV/atom
**Total energy**: -12.849 eV per atom

Cell: 2.6584 2.6584 5.7133 Å, 103.45 103.45 90.00°
Fractional positions:
1 P 0.8693 0.8693 0.7386
2 P 0.1307 0.1307 0.2614
3 Fe 0.5000 0.5000 0.0000



Record 20
The following is a DFT calculation (meta-GGA SCAN) of a crystal of TaCu2Re relaxed with PBEsol.

Calculated values
**Theoretical density**: 14.9 g/cm3
**Crystal system**: tetragonal
**Formation enthalpy at 0 K**: 0.25 eV/atom
**Energy above the most stable polymorph in this dataset**: 179.4 meV per atom
**Total energy**: -41.775 eV per atom

Cell: 2.6436 2.6436 7.8594 Å, 90.00 90.00 90.00°
Fractional positions:
1 Cu 0.0000 0.0000 0.7574
2 Ta 0.5000 0.5000 0.5000
3 Re 0.5000 0.5000 0.0000
4 Cu 0.0000 0.0000 0.2426